DFT (PBE with a Hubbard U) results for CoPtSO after structural relaxation.

As for the energy relative to the lowest polymorph listed for this composition: 0.671 eV/atom.

abc: 3.383 3.383 10.003
angles: 90.00 90.00 90.00
Sites, in units of the cell vectors:
Co 0.250 0.250 0.209
Co 0.750 0.750 0.791
Pt 0.250 0.250 0.640
Pt 0.750 0.750 0.360
S 0.250 0.250 0.867
S 0.750 0.750 0.133
O 0.250 0.750 0.500
O 0.750 0.250 0.500